1.
## SrGd2Cd (PBE-GGA)

Data for a relaxed structure of SrGd2Cd.

Unit cell a=12.252 b=12.252 c=12.252 alpha=17.27 beta=17.27 gamma=17.27
Positions (direct):
Sr  0.000  0.000  0.000
Gd  0.099  0.099  0.099
Gd  0.901  0.901  0.901
Cd  0.500  0.500  0.500

ρ: 6.04 g/cm3
excess energy over the best structure of this formula in the dataset: 0.2012 eV per atom
formation energy: 0.142 eV/atom
magnetic moment: 3.86 μB/atom


2.
## SrGdCd (PBE-GGA)

Data for a relaxed structure of SrGdCd.

Unit cell a=7.394 b=7.394 c=7.394 alpha=149.59 beta=149.59 gamma=43.54
Positions (direct):
Sr  0.000  0.000  0.000
Gd  0.283  0.283  0.000
Cd  0.661  0.661  0.000

ρ: 5.74 g/cm3
excess energy over the best structure of this formula in the dataset: 0.0000 eV per atom
formation energy: -0.149 eV/atom
magnetic moment: 2.56 μB/atom


- Among the records above, which one has the highest ρ?
  SrGd2Cd


- Which of these has the highest excess energy over the best structure of this formula in the dataset?
  SrGd2Cd


- Look up the excess energy over the best structure of this formula in the dataset of the second one.
  0.0000 eV per atom